[1]
A plane-wave DFT calculation with PBE was carried out for a geometry-optimized CaHgGe4 structure.

Computed properties:
* formation energy: -0.0793 eV per atom
* symmetry: No. 216

Cell lengths 5.687, 5.687, 5.687 Å; angles 60.00, 60.00, 60.00 degrees
Positions (direct):
1 Ge 0.625 0.625 0.124
2 Ge 0.625 0.124 0.625
3 Ge 0.625 0.625 0.625
4 Ge 0.124 0.625 0.625
5 Ca 0.250 0.250 0.250
6 Hg 0.000 0.000 0.000



[2]
A plane-wave DFT calculation with PBE was carried out for a geometry-optimized TeRu2Pt structure.

Computed properties:
* formation energy (no corrections): 1.40 eV per formula unit
* symmetry: No. 10

Cell lengths 4.058, 3.088, 5.585 Å; angles 72.15, 90.00, 90.00 degrees
Positions (direct):
1 Pt 0.500 0.750 0.750
2 Ru 0.000 0.115 0.997
3 Ru 0.000 0.385 0.503
4 Te 0.500 0.250 0.250



[3]
A plane-wave DFT calculation with PBE was carried out for a geometry-optimized GdP3O9 structure.

Computed properties:
* formation energy (no corrections): -32.65 eV per formula unit
* symmetry: No. 15

Cell lengths 13.512, 13.512, 10.282 Å; angles 84.02, 84.02, 61.25 degrees
Each line ends with the local moment (μB).
Positions (direct):
1 Gd 0.016 0.749 0.767  6.92
2 Gd 0.510 0.755 0.264  6.92
3 Gd 0.755 0.510 0.764  6.92
4 Gd 0.245 0.490 0.236  6.92
5 Gd 0.984 0.251 0.233  6.92
6 Gd 0.490 0.245 0.736  6.92
7 Gd 0.749 0.016 0.267  6.92
8 Gd 0.251 0.984 0.733  6.92
9 P 0.846 0.766 0.065  0.00
10 P 0.159 0.741 0.428  0.00
11 P 0.357 0.725 0.554  0.00
12 P 0.741 0.159 0.928  0.00
13 P 0.649 0.778 0.934  0.00
14 P 0.468 0.532 0.750  0.00
15 P 0.460 0.049 0.283  0.00
16 P 0.952 0.048 0.750  0.00
17 P 0.154 0.234 0.935  0.00
18 P 0.778 0.649 0.434  0.00
19 P 0.259 0.841 0.072  0.00
20 P 0.643 0.275 0.446  0.00
21 P 0.766 0.846 0.565  0.00
22 P 0.049 0.460 0.783  0.00
23 P 0.048 0.952 0.250  0.00
24 P 0.725 0.357 0.054  0.00
25 P 0.234 0.154 0.435  0.00
26 P 0.540 0.951 0.717  0.00
27 P 0.275 0.643 0.946  0.00
28 P 0.532 0.468 0.250  0.00
29 P 0.222 0.351 0.566  0.00
30 P 0.841 0.259 0.572  0.00
31 P 0.351 0.222 0.066  0.00
32 P 0.951 0.540 0.217  0.00
33 O 0.578 0.901 0.863  0.00
34 O 0.285 0.714 0.055  0.00
35 O 0.152 0.208 0.330  -0.02
36 O 0.210 0.242 0.541  -0.01
37 O 0.954 0.938 0.737  0.00
38 O 0.790 0.758 0.459  -0.01
39 O 0.868 0.641 0.122  0.00
40 O 0.128 0.894 0.124  0.00
41 O 0.542 0.272 0.520  -0.02
42 O 0.772 0.586 0.561  -0.01
43 O 0.102 0.733 0.559  0.00
44 O 0.332 0.834 0.177  0.00
45 O 0.602 0.394 0.128  -0.01
46 O 0.208 0.152 0.830  -0.02
47 O 0.467 0.421 0.764  0.00
48 O 0.894 0.128 0.624  0.00
49 O 0.313 0.318 0.659  -0.01
50 O 0.934 0.470 0.798  0.00
51 O 0.286 0.715 0.445  0.00
52 O 0.938 0.954 0.237  0.00
53 O 0.238 0.052 0.515  -0.02
54 O 0.872 0.106 0.876  0.00
55 O 0.458 0.728 0.480  -0.02
56 O 0.606 0.398 0.372  -0.01
57 O 0.470 0.934 0.298  0.00
58 O 0.792 0.848 0.170  -0.02
59 O 0.272 0.542 0.020  -0.02
60 O 0.848 0.792 0.670  -0.02
61 O 0.438 0.939 0.696  0.00
62 O 0.687 0.682 0.341  -0.01
63 O 0.758 0.790 0.959  -0.01
64 O 0.061 0.562 0.804  0.00
65 O 0.714 0.285 0.555  0.00
66 O 0.183 0.713 0.855  -0.02
67 O 0.046 0.062 0.263  0.00
68 O 0.132 0.359 0.878  0.00
69 O 0.586 0.772 0.061  -0.01
70 O 0.668 0.166 0.823  0.00
71 O 0.817 0.287 0.145  -0.02
72 O 0.948 0.762 0.985  -0.02
73 O 0.898 0.267 0.441  0.00
74 O 0.099 0.422 0.637  0.00
75 O 0.166 0.668 0.323  0.00
76 O 0.287 0.817 0.645  -0.02
77 O 0.267 0.898 0.941  0.00
78 O 0.421 0.467 0.264  0.00
79 O 0.579 0.533 0.736  0.00
80 O 0.733 0.102 0.059  0.00
81 O 0.228 0.414 0.439  -0.01
82 O 0.562 0.061 0.304  0.00
83 O 0.715 0.286 0.945  0.00
84 O 0.533 0.579 0.236  0.00
85 O 0.834 0.332 0.677  0.00
86 O 0.106 0.872 0.376  0.00
87 O 0.939 0.438 0.196  0.00
88 O 0.062 0.046 0.763  0.00
89 O 0.318 0.313 0.159  -0.01
90 O 0.242 0.210 0.041  -0.01
91 O 0.682 0.687 0.841  -0.01
92 O 0.394 0.602 0.628  -0.01
93 O 0.359 0.132 0.378  0.00
94 O 0.901 0.578 0.363  0.00
95 O 0.414 0.228 0.939  -0.01
96 O 0.422 0.099 0.137  0.00
97 O 0.641 0.868 0.622  0.00
98 O 0.762 0.948 0.485  -0.02
99 O 0.398 0.606 0.872  -0.01
100 O 0.530 0.066 0.702  0.00
101 O 0.713 0.183 0.355  -0.02
102 O 0.066 0.530 0.202  0.00
103 O 0.728 0.458 0.980  -0.02
104 O 0.052 0.238 0.015  -0.02



It is found that the mass density values, taken in the order of the records, are 6782; 13081; 3205 kg/m3.
It is found that the DOS at the Fermi energy values, taken in the order of the records, are 0.497; 1.192; 0.000 states/eV per atom.
It is found that the magnetic moment values, taken in the order of the records, are 0.0; 0.0; 6.9 μB/f.u..